Ce2PuThN4 | GGA-PBE | optimized geometry

Total magnetization = 5.96 μB per formula unit
Electronic total energy = -78.56 eV/cell
Symmetry = P2/m
Formation energy from raw total energies = -1.455 eV per atom

Unit cell a=3.5852 b=6.2014 c=6.2072 alpha=109.58 beta=90.00 gamma=90.00
With the nearest neighbours (Å) after each atom.
Sites, in units of the cell vectors:
Th (0.5000, 0.5000, 0.0000)  6 N 2.54
N (0.5000, 0.2434, 0.2444)  2 Pu 2.50, 3 Ce 2.53-2.56, 1 Th 2.54
N (0.5000, 0.7566, 0.7556)  2 Pu 2.50, 3 Ce 2.53-2.56, 1 Th 2.54
N (0.0000, 0.7523, 0.2502)  1 Pu 2.52, 3 Ce 2.53-2.55, 2 Th 2.54
N (0.0000, 0.2477, 0.7498)  1 Pu 2.52, 3 Ce 2.53-2.55, 2 Th 2.54
Ce (0.5000, 0.0000, 0.5000)  6 N 2.53
Ce (0.0000, 0.5000, 0.5000)  6 N 2.55-2.56
Pu (0.0000, 0.0000, 0.0000)  6 N 2.50-2.52